# 1
This record from Alexandria via LeMat-Bulk describes crystalline Li7Tl2Hg at its relaxed geometry. The functional is PBE-GGA.

Geometry as POSCAR:
```
Li7Tl2Hg
1.0
4.690 0.000 0.000
-2.345 4.062 0.000
0.000 0.000 10.094
Li Tl Hg
7 2 1
direct
0.333 0.667 0.896
0.667 0.333 0.943
0.000 0.000 0.754
0.667 0.333 0.550
0.000 0.000 0.405
0.333 0.667 0.134
0.333 0.667 0.373
0.333 0.667 0.634
0.667 0.333 0.246
0.000 0.000 0.048
```

* space group: No. 156
* energy relative to the lowest polymorph listed for this composition: 0 meV per atom
* ΔH_f (0 K): -1.67 eV per formula unit
* magnetic moment: 0.00 μB/f.u.
* D(E_F): 0.386 states/eV per atom
* raw total energy: -2.010 eV per atom


# 2
This record from Alexandria via LeMat-Bulk describes crystalline Li12TlHg3 at its relaxed geometry. The functional is PBE-GGA.

Geometry as POSCAR:
```
Li12TlHg3
1.0
4.162 0.000 0.000
0.000 4.162 0.000
0.000 0.000 16.698
Hg Li Tl
3 12 1
direct
0.000 0.000 0.746
0.000 0.000 0.500
0.000 0.000 0.254
0.500 0.000 0.868
0.000 0.500 0.868
0.500 0.000 0.132
0.500 0.500 0.255
0.500 0.000 0.622
0.500 0.000 0.378
0.500 0.500 0.500
0.000 0.500 0.622
0.500 0.500 0.745
0.000 0.500 0.132
0.500 0.500 0.000
0.000 0.500 0.378
0.000 0.000 0.000
```

* space group: No. 123
* ΔH_f (0 K): -3.96 eV per formula unit
* magnetic moment: 0.00 μB/f.u.
* D(E_F): 0.299 states/eV per atom
* raw total energy: -1.887 eV per atom